1.
Here is crystalline TmSnTe3Au at its relaxed geometry from the Open Quantum Materials Database. Energies are from PBE.

The space group is P2_1/m (No. 11) and the conventional cell measures 8.254, 4.280 and 10.581 Å, with angles of 90.00, 107.05 and 90.00 degrees. Symmetry generates all atoms from Tm at (0.208, 0.250, 0.180), Sn at (0.215, 0.750, 0.708), Te at (0.075, 0.250, 0.873), Te at (0.205, 0.250, 0.468), Te at (0.460, 0.750, 0.160) and Au at (0.398, 0.750, 0.401).

As for the total energy: -4.17 eV/atom. For the energy above the most stable polymorph in this dataset, the calculation gives 0.0 meV per atom. The value obtained for the density is 8061 kg/m3.

=====

2.
Here is crystalline DyTmMg2 at its relaxed geometry from the Open Quantum Materials Database. Energies are from PBE.

The space group is Pmm2 (No. 25) and the conventional cell measures 3.800, 5.304 and 5.305 Å, with angles of 90.00, 90.00 and 90.00 degrees. Symmetry generates all atoms from Dy at (0.000, 0.000, 0.000), Tm at (0.000, 0.500, 0.504), Mg at (0.500, 0.000, 0.500) and Mg at (0.500, 0.500, 0.004).

As for the total energy: -3.11 eV/atom. The value obtained for the density is 5903 kg/m3.

=====

3.
Here is crystalline Tm3CoTe5 at its relaxed geometry from the Open Quantum Materials Database. Energies are from PBE.

The space group is P-62m (No. 189) and the conventional cell measures 8.3829, 8.3829 and 4.1891 Å, with angles of 90.00, 90.00 and 120.00 degrees. Symmetry generates all atoms from Tm at (0.0000, 0.2626, 0.0000), Co at (0.0000, 0.0000, 0.5000), Te at (0.0000, 0.7049, 0.5000) and Te at (0.3333, 0.6667, 0.0000).

As for the total energy: -4.82 eV/atom. For the energy above the most stable polymorph in this dataset, the calculation gives 0.0 meV per atom. The value obtained for the density is 7840 kg/m3.

=====

4.
Here is crystalline LuZrGe4 at its relaxed geometry from the Open Quantum Materials Database. Energies are from PBE.

The space group is Amm2 (No. 38) and the conventional cell measures 3.829, 3.900 and 15.434 Å, with angles of 90.00, 90.00 and 90.00 degrees. Symmetry generates all atoms from Lu at (0.000, 0.000, 0.000), Zr at (0.500, 0.000, 0.790), Ge at (0.000, 0.000, 0.336), Ge at (0.000, 0.000, 0.647), Ge at (0.500, 0.000, 0.150) and Ge at (0.500, 0.000, 0.449).

As for the total energy: -5.85 eV/atom. The value obtained for the density is 8024 kg/m3.

=====

5.
Here is crystalline Y3Mg3Al2Zn at its relaxed geometry from the Open Quantum Materials Database. Energies are from PBE.

The space group is P-62m (No. 189) and the conventional cell measures 7.4048, 7.4048 and 4.4069 Å, with angles of 90.00, 90.00 and 120.00 degrees. Symmetry generates all atoms from Y at (0.0000, 0.4195, 0.0000), Mg at (0.0000, 0.7587, 0.5000), Al at (0.3333, 0.6667, 0.5000) and Zn at (0.0000, 0.0000, 0.0000).

As for the total energy: -3.98 eV/atom. The value obtained for the density is 3642 kg/m3.

=====

6.
Here is crystalline BaHoU at its relaxed geometry from the Open Quantum Materials Database. Energies are from PBE.

The space group is F-43m (No. 216) and the conventional cell measures 7.969, 7.969 and 7.969 Å, with angles of 90.00, 90.00 and 90.00 degrees. Symmetry generates all atoms from Ba at (0.000, 0.000, 0.000), Ho at (0.250, 0.250, 0.250) and U at (0.000, 0.000, 0.500).

As for the total energy: -4.43 eV/atom. For the energy above the most stable polymorph in this dataset, the calculation gives 0.0 meV per atom. The value obtained for the density is 7092 kg/m3.

=====

7.
Here is crystalline BeCdNiSb at its relaxed geometry from the Open Quantum Materials Database. Energies are from PBE.

The space group is F-43m (No. 216) and the conventional cell measures 6.447, 6.447 and 6.447 Å, with angles of 90.00, 90.00 and 90.00 degrees. Symmetry generates all atoms from Be at (0.000, 0.000, 0.000), Cd at (0.250, 0.250, 0.750), Ni at (0.000, 0.000, 0.500) and Sb at (0.250, 0.250, 0.250).

As for the total energy: -3.19 eV/atom. The value obtained for the density is 7483 kg/m3.

=====

8.
Here is crystalline Pr3Pt2 at its relaxed geometry from the Open Quantum Materials Database. Energies are from PBE.

The space group is R-3 (No. 148, hexagonal axes) and the conventional cell measures 9.0719, 9.0719 and 17.1683 Å, with angles of 90.00, 90.00 and 120.00 degrees. Symmetry generates all atoms from Pr at (0.0000, 0.0000, 0.0000), Pr at (0.0000, 0.0000, 0.2011), Pr at (0.0138, 0.7563, 0.5920) and Pt at (0.0186, 0.4064, 0.5701).

The calculation puts the formation energy at -0.9138 eV/atom. As for the total energy: -6.20 eV/atom. The value obtained for the density is 9928 kg/m3.

=====

9.
Here is crystalline NaOs5 at its relaxed geometry from the Open Quantum Materials Database. Energies are from PBE.

The space group is P6/mmm (No. 191) and the conventional cell measures 5.1385, 5.1385 and 4.4524 Å, with angles of 90.00, 90.00 and 120.00 degrees. Symmetry generates all atoms from Na at (0.0000, 0.0000, 0.0000), Os at (0.0000, 0.5000, 0.5000) and Os at (0.3333, 0.6667, 0.0000).

As for the total energy: -8.75 eV/atom. The value obtained for the density is 15888 kg/m3.

=====

10.
Here is crystalline CsSmMo at its relaxed geometry from the Open Quantum Materials Database. Energies are from PBE.

The space group is F-43m (No. 216) and the conventional cell measures 7.606, 7.606 and 7.606 Å, with angles of 90.00, 90.00 and 90.00 degrees. Symmetry generates all atoms from Cs at (0.000, 0.000, 0.000), Sm at (0.250, 0.250, 0.250) and Mo at (0.000, 0.000, 0.500).

As for the total energy: -3.54 eV/atom. The value obtained for the density is 5723 kg/m3.

=====

11.
Here is crystalline HoOsAu at its relaxed geometry from the Open Quantum Materials Database. Energies are from PBE.

The space group is F-43m (No. 216) and the conventional cell measures 6.476, 6.476 and 6.476 Å, with angles of 90.00, 90.00 and 90.00 degrees. Symmetry generates all atoms from Ho at (0.000, 0.000, 0.000), Os at (0.250, 0.250, 0.250) and Au at (0.250, 0.250, 0.750).

The calculation puts the formation energy at 0.6919 eV/atom. As for the total energy: -5.66 eV/atom. For the energy above the most stable polymorph in this dataset, the calculation gives 323.7 meV per atom. The value obtained for the density is 13505 kg/m3.

=====

12.
Here is crystalline LiCuBW at its relaxed geometry from the Open Quantum Materials Database. Energies are from PBE.

The space group is F-43m (No. 216) and the conventional cell measures 5.675, 5.675 and 5.675 Å, with angles of 90.00, 90.00 and 90.00 degrees. Symmetry generates all atoms from Li at (0.000, 0.000, 0.000), Cu at (0.000, 0.000, 0.500), B at (0.250, 0.250, 0.250) and W at (0.250, 0.250, 0.750).

As for the total energy: -5.24 eV/atom. For the energy above the most stable polymorph in this dataset, the calculation gives 483.9 meV per atom. The value obtained for the density is 9638 kg/m3.

=====

13.
Here is crystalline LaYSn2Pt4 at its relaxed geometry from the Open Quantum Materials Database. Energies are from PBE.

The space group is P-6m2 (No. 187) and the conventional cell measures 4.6109, 4.6109 and 9.2948 Å, with angles of 90.00, 90.00 and 120.00 degrees. Symmetry generates all atoms from La at (0.0000, 0.0000, 0.0000), Y at (0.6667, 0.3333, 0.5000), Sn at (0.3333, 0.6667, 0.2602), Pt at (0.0000, 0.0000, 0.3439) and Pt at (0.6667, 0.3333, 0.1713).

As for the total energy: -6.43 eV/atom. The value obtained for the density is 12086 kg/m3.

=====

14.
Here is crystalline Li2Cd2NiSn2Pt at its relaxed geometry from the Open Quantum Materials Database. Energies are from PBE.

The space group is P-4m2 (No. 115) and the conventional cell measures 4.560, 4.560 and 6.494 Å, with angles of 90.00, 90.00 and 90.00 degrees. Symmetry generates all atoms from Li at (0.000, 0.000, 0.000), Li at (0.500, 0.500, 0.500), Cd at (0.000, 0.500, 0.241), Ni at (0.500, 0.500, 0.000), Sn at (0.000, 0.500, 0.761) and Pt at (0.000, 0.000, 0.500).

As for the total energy: -3.51 eV/atom. The value obtained for the density is 8975 kg/m3.

=====

15.
Here is crystalline MgZnAs2Pb at its relaxed geometry from the Open Quantum Materials Database. Energies are from PBE.

The space group is P3m1 (No. 156) and the conventional cell measures 4.3393, 4.3393 and 7.2709 Å, with angles of 90.00, 90.00 and 120.00 degrees. Symmetry generates all atoms from Mg at (0.0000, 0.0000, 0.0000), Zn at (0.3333, 0.6667, 0.2582), As at (0.0000, 0.0000, 0.3658), As at (0.3333, 0.6667, 0.8869) and Pb at (0.6667, 0.3333, 0.6285).

As for the total energy: -3.46 eV/atom. The value obtained for the density is 6257 kg/m3.

=====

16.
Here is crystalline ZrRe2Si2 at its relaxed geometry from the Open Quantum Materials Database. Energies are from PBE.

The space group is I4/mmm (No. 139) and the conventional cell measures 4.032, 4.032 and 10.042 Å, with angles of 90.00, 90.00 and 90.00 degrees. Symmetry generates all atoms from Zr at (0.000, 0.000, 0.000), Re at (0.000, 0.500, 0.250) and Si at (0.000, 0.000, 0.384).

As for the total energy: -9.19 eV/atom. The value obtained for the density is 10577 kg/m3.

=====

17.
Here is crystalline DyEr2FeCo6Ni2 at its relaxed geometry from the Open Quantum Materials Database. Energies are from PBE.

The space group is R-3m (No. 166, hexagonal axes) and the conventional cell measures 4.9691, 4.9691 and 24.0711 Å, with angles of 90.00, 90.00 and 120.00 degrees. Symmetry generates all atoms from Dy at (0.0000, 0.0000, 0.0000), Er at (0.0000, 0.0000, 0.1394), Fe at (0.0000, 0.0000, 0.5000), Co at (0.0025, 0.5013, 0.9172) and Ni at (0.0000, 0.0000, 0.3337).

The calculation puts the formation energy at -0.2367 eV/atom. As for the total energy: -6.55 eV/atom. The value obtained for the density is 9909 kg/m3.

=====

18.
Here is crystalline GdEr2Al3Cu2Pd at its relaxed geometry from the Open Quantum Materials Database. Energies are from PBE.

The space group is Amm2 (No. 38) and the conventional cell measures 4.077, 12.117 and 7.023 Å, with angles of 90.00, 90.00 and 90.00 degrees. Symmetry generates all atoms from Gd at (0.000, 0.000, 0.000), Er at (0.000, 0.209, 0.627), Al at (0.500, 0.000, 0.658), Al at (0.500, 0.120, 0.300), Cu at (0.500, 0.169, 0.918) and Pd at (0.000, 0.000, 0.423).

As for the total energy: -4.76 eV/atom. The value obtained for the density is 7718 kg/m3.

=====

19.
Here is crystalline ScZnCuMo at its relaxed geometry from the Open Quantum Materials Database. Energies are from PBE.

The space group is F-43m (No. 216) and the conventional cell measures 6.348, 6.348 and 6.348 Å, with angles of 90.00, 90.00 and 90.00 degrees. Symmetry generates all atoms from Sc at (0.000, 0.000, 0.000), Zn at (0.000, 0.000, 0.500), Cu at (0.250, 0.250, 0.750) and Mo at (0.250, 0.250, 0.250).

The calculation puts the formation energy at 0.2815 eV/atom. As for the total energy: -5.26 eV/atom. For the energy above the most stable polymorph in this dataset, the calculation gives 0.0 meV per atom. The value obtained for the density is 7007 kg/m3.

=====

20.
Here is crystalline NiBiPt at its relaxed geometry from the Open Quantum Materials Database. Energies are from PBE.

The space group is P6_3/mmc (No. 194) and the conventional cell measures 4.7220, 4.7220 and 5.7166 Å, with angles of 90.00, 90.00 and 120.00 degrees. Symmetry generates all atoms from Ni at (0.0000, 0.0000, 0.0000), Bi at (0.3333, 0.6667, 0.2500) and Pt at (0.3333, 0.6667, 0.7500).

As for the total energy: -5.06 eV/atom. For the energy above the most stable polymorph in this dataset, the calculation gives 159.3 meV per atom. The value obtained for the density is 13923 kg/m3.